(1)
DFT (PBE-GGA) results for TiPS2Cl after structural relaxation.

The structure in CIF format:
```
data_TiPS2Cl
_chemical_formula_sum 'Ti1 P1 S2 Cl1'
_symmetry_space_group_name_H-M 'P 1'
_symmetry_Int_Tables_number 1
_cell_length_a 4.575
_cell_length_b 4.575
_cell_length_c 5.053
_cell_angle_alpha 90.00
_cell_angle_beta 90.00
_cell_angle_gamma 90.00
loop_
_symmetry_equiv_pos_as_xyz
'x,y,z'
loop_
_atom_site_label
_atom_site_fract_x
_atom_site_fract_y
_atom_site_fract_z
_atom_site_occupancy
P1 0.000 0.000 0.500 1
S1 0.000 0.500 0.000 1
S2 0.500 0.000 0.000 1
Cl1 0.500 0.500 0.500 1
Ti1 0.000 0.000 0.000 1
```

Summary:
energy	-4.73	eV per atom
space group	P4/mmm (123)

=====

(2)
DFT (PBE-GGA) results for InGa3Pt3 after structural relaxation.

The structure in CIF format:
```
data_InGa3Pt3
_chemical_formula_sum 'In2 Ga6 Pt6'
_symmetry_space_group_name_H-M 'P 1'
_symmetry_Int_Tables_number 1
_cell_length_a 6.919
_cell_length_b 6.919
_cell_length_c 6.919
_cell_angle_alpha 90.00
_cell_angle_beta 90.00
_cell_angle_gamma 90.00
loop_
_symmetry_equiv_pos_as_xyz
'x,y,z'
loop_
_atom_site_label
_atom_site_fract_x
_atom_site_fract_y
_atom_site_fract_z
_atom_site_occupancy
Ga1 0.250 0.000 0.500 1
Ga2 0.000 0.500 0.250 1
Ga3 0.500 0.750 0.000 1
Ga4 0.750 0.000 0.500 1
Ga5 0.000 0.500 0.750 1
Ga6 0.500 0.250 0.000 1
Pt1 0.000 0.250 0.500 1
Pt2 0.000 0.750 0.500 1
Pt3 0.500 0.000 0.750 1
Pt4 0.750 0.500 0.000 1
Pt5 0.500 0.000 0.250 1
Pt6 0.250 0.500 0.000 1
In1 0.500 0.500 0.500 1
In2 0.000 0.000 0.000 1
```

Summary:
space group	Pm-3n (223)
ΔE_f	-109	kJ/mol of formula units

=====

Result set for total magnetic moment: 0.00, 0.00 μB per formula unit, one per record in the order listed.